An optimized crystal structure of BeCdSb2, computed with GGA-PBE.

Lattice parameters (Å, degrees): 3.4984 3.4984 7.8797 90.00 90.00 105.41
Fractional positions:
Be (0.0000, 0.0000, 0.0000)
Cd (0.5000, 0.5000, 0.7869)
Sb (0.0000, 0.0000, 0.5317)
Sb (0.5000, 0.5000, 0.1631)

ΔE_f (raw)   0.383 eV/atom
Excess energy over the best structure of this formula in the dataset   16.7 kJ/mol of atoms
VASP energy   -2.84 eV/atom



An optimized crystal structure of Be2CdSb, computed with GGA-PBE.

Lattice parameters (Å, degrees): 4.7013 4.7013 4.7013 60.00 60.00 60.00
Fractional positions:
Be (0.0000, 0.0000, 0.0000)
Be (0.2500, 0.2500, 0.2500)
Cd (0.5000, 0.5000, 0.5000)
Sb (0.7500, 0.7500, 0.7500)

ΔE_f (raw)   0.873 eV/atom
Excess energy over the best structure of this formula in the dataset   54.5 kJ/mol of atoms
VASP energy   -2.25 eV/atom



Q: Number 1 is which compound?
A: BeCdSb2



Q: The highest excess energy over the best structure of this formula in the dataset belongs to which entry?
A: Be2CdSb